[1]
DFT (meta-GGA SCAN) results for a PBEsol-optimized structure of Al2Si2PbO8.

Cell: 7.1747 7.7857 7.7936 Å, 113.62 103.55 103.55°
Last column: nearest neighbours and their distance in Å.
Fractional positions:
1 Al 0.2297 0.1820 0.3304  4 O 1.73-1.77
2 Al 0.2297 0.8306 0.6824  4 O 1.74-1.77
3 Al 0.7703 0.1694 0.3176  4 O 1.74-1.77
4 Al 0.7703 0.8180 0.6696  4 O 1.73-1.77
5 Si 0.3432 0.5744 0.3039  4 O 1.61-1.66
6 Si 0.3428 0.8034 0.0730  4 O 1.62-1.66
7 Si 0.6572 0.1966 0.9270  4 O 1.62-1.66
8 Si 0.6568 0.4256 0.6961  4 O 1.61-1.66
9 Pb 0.1451 0.2543 0.7535  5 O 2.52-2.66
10 Pb 0.8549 0.7457 0.2465  5 O 2.52-2.66
11 O 0.0000 0.1219 0.3777  2 Al 1.77
12 O 0.0000 0.8781 0.6223  2 Al 1.77
13 O 0.2309 0.6890 0.4447  1 Si 1.62, 1 Al 1.74
14 O 0.2305 0.9445 0.1870  1 Si 1.62, 1 Al 1.74
15 O 0.2574 0.7154 0.8318  1 Si 1.62, 1 Al 1.74
16 O 0.2587 0.3334 0.2176  1 Si 1.61, 1 Al 1.73
17 O 0.2861 0.5975 0.0974  2 Si 1.66
18 O 0.4059 0.0836 0.8196  1 Si 1.64, 1 Al 1.77
19 O 0.4055 0.3171 0.5833  1 Si 1.64, 1 Al 1.77
20 O 0.5945 0.6829 0.4167  1 Si 1.64, 1 Al 1.77
21 O 0.5941 0.9164 0.1804  1 Si 1.64, 1 Al 1.77
22 O 0.7139 0.4025 0.9026  2 Si 1.66
23 O 0.7413 0.6666 0.7824  1 Si 1.61, 1 Al 1.73
24 O 0.7426 0.2846 0.1682  1 Si 1.62, 1 Al 1.74
25 O 0.7695 0.0555 0.8130  1 Si 1.62, 1 Al 1.74
26 O 0.7691 0.3110 0.5553  1 Si 1.62, 1 Al 1.74

Calculated values
Space-group type: P-1 (2)

=====

[2]
DFT (meta-GGA SCAN) results for a PBEsol-optimized structure of Al3Si3Pb2O13.

Cell: 15.7585 5.7682 10.8892 Å, 90.00 90.00 90.00°
Last column: nearest neighbours and their distance in Å.
Fractional positions:
1 Al 0.1077 0.2500 0.1556  4 O 1.75-1.80
2 Al 0.2504 0.0011 0.8159  5 O 1.81-2.01
3 Al 0.2504 0.4989 0.8159  5 O 1.81-2.01
4 Al 0.2496 0.5011 0.3159  5 O 1.81-2.01
5 Al 0.2496 0.9989 0.3159  5 O 1.81-2.01
6 Al 0.3923 0.7500 0.6556  4 O 1.75-1.80
7 Al 0.6077 0.2500 0.3444  4 O 1.75-1.80
8 Al 0.7504 0.0011 0.6841  5 O 1.81-2.01
9 Al 0.7504 0.4989 0.6841  5 O 1.81-2.01
10 Al 0.7496 0.5011 0.1841  5 O 1.81-2.01
11 Al 0.7496 0.9989 0.1841  5 O 1.81-2.01
12 Al 0.8923 0.7500 0.8444  4 O 1.75-1.80
13 Si 0.0805 0.7500 0.7077  4 O 1.60-1.64
14 Si 0.0819 0.7500 0.4202  4 O 1.62-1.64
15 Si 0.1591 0.7500 0.0629  4 O 1.63-1.67
16 Si 0.3409 0.2500 0.5629  4 O 1.63-1.67
17 Si 0.4181 0.2500 0.9202  4 O 1.62-1.64
18 Si 0.4195 0.2500 0.2077  4 O 1.60-1.64
19 Si 0.5805 0.7500 0.7923  4 O 1.60-1.64
20 Si 0.5819 0.7500 0.0798  4 O 1.62-1.64
21 Si 0.6591 0.7500 0.4371  4 O 1.63-1.67
22 Si 0.8409 0.2500 0.9371  4 O 1.63-1.67
23 Si 0.9181 0.2500 0.5798  4 O 1.62-1.64
24 Si 0.9195 0.2500 0.2923  4 O 1.60-1.64
25 Pb 0.0631 0.2500 0.8724  4 O 2.33-2.53
26 Pb 0.1357 0.2500 0.5597  5 O 2.28-2.46
27 Pb 0.3643 0.7500 0.0597  5 O 2.28-2.46
28 Pb 0.4369 0.7500 0.3724  4 O 2.33-2.53
29 Pb 0.5631 0.2500 0.6276  4 O 2.33-2.53
30 Pb 0.6357 0.2500 0.9403  5 O 2.28-2.46
31 Pb 0.8643 0.7500 0.4403  5 O 2.28-2.46
32 Pb 0.9369 0.7500 0.1276  4 O 2.33-2.53
33 O 0.0022 0.2500 0.2077  1 Si 1.60, 1 Al 1.76
34 O 0.0069 0.2500 0.6551  1 Si 1.62
35 O 0.0511 0.7500 0.5639  2 Si 1.63-1.64
36 O 0.1022 0.5138 0.0678  1 Si 1.63, 1 Al 1.80
37 O 0.1022 0.9862 0.0678  1 Si 1.63, 1 Al 1.80
38 O 0.1397 0.5198 0.3952  1 Si 1.63
39 O 0.1397 0.9802 0.3952  1 Si 1.63
40 O 0.1414 0.5235 0.7326  1 Si 1.64
41 O 0.1414 0.9765 0.7326  1 Si 1.64
42 O 0.2069 0.2500 0.2291  3 Al 1.75-1.86
43 O 0.2099 0.2500 0.8976  2 Al 1.81
44 O 0.2172 0.7500 0.9347  1 Si 1.67
45 O 0.2216 0.7500 0.1864  1 Si 1.67
46 O 0.2784 0.2500 0.6864  1 Si 1.67
47 O 0.2828 0.2500 0.4347  1 Si 1.67
48 O 0.2901 0.7500 0.3976  2 Al 1.81
49 O 0.2931 0.7500 0.7291  3 Al 1.75-1.86
50 O 0.3586 0.0235 0.2326  1 Si 1.64
51 O 0.3586 0.4765 0.2326  1 Si 1.64
52 O 0.3603 0.0198 0.8952  1 Si 1.63
53 O 0.3603 0.4802 0.8952  1 Si 1.63
54 O 0.3978 0.0138 0.5678  1 Si 1.63, 1 Al 1.80
55 O 0.3978 0.4862 0.5678  1 Si 1.63, 1 Al 1.80
56 O 0.4489 0.2500 0.0639  2 Si 1.63-1.64
57 O 0.4931 0.7500 0.1551  1 Si 1.62
58 O 0.4978 0.7500 0.7077  1 Si 1.60, 1 Al 1.76
59 O 0.5022 0.2500 0.2923  1 Si 1.60, 1 Al 1.76
60 O 0.5069 0.2500 0.8449  1 Si 1.62
61 O 0.5511 0.7500 0.9361  2 Si 1.63-1.64
62 O 0.6022 0.5138 0.4322  1 Si 1.63, 1 Al 1.80
63 O 0.6022 0.9862 0.4322  1 Si 1.63, 1 Al 1.80
64 O 0.6397 0.5198 0.1048  1 Si 1.63
65 O 0.6397 0.9802 0.1048  1 Si 1.63
66 O 0.6414 0.5235 0.7674  1 Si 1.64
67 O 0.6414 0.9765 0.7674  1 Si 1.64
68 O 0.7069 0.2500 0.2709  3 Al 1.75-1.86
69 O 0.7099 0.2500 0.6024  2 Al 1.81
70 O 0.7172 0.7500 0.5653  1 Si 1.67
71 O 0.7216 0.7500 0.3136  1 Si 1.67
72 O 0.7784 0.2500 0.8136  1 Si 1.67
73 O 0.7828 0.2500 0.0653  1 Si 1.67
74 O 0.7901 0.7500 0.1024  2 Al 1.81
75 O 0.7931 0.7500 0.7709  3 Al 1.75-1.86
76 O 0.8586 0.0235 0.2674  1 Si 1.64
77 O 0.8586 0.4765 0.2674  1 Si 1.64
78 O 0.8603 0.0198 0.6048  1 Si 1.63
79 O 0.8603 0.4802 0.6048  1 Si 1.63
80 O 0.8978 0.0138 0.9322  1 Si 1.63, 1 Al 1.80
81 O 0.8978 0.4862 0.9322  1 Si 1.63, 1 Al 1.80
82 O 0.9489 0.2500 0.4361  2 Si 1.63-1.64
83 O 0.9931 0.7500 0.3449  1 Si 1.62
84 O 0.9978 0.7500 0.7923  1 Si 1.60, 1 Al 1.76

Calculated values
Space-group type: Pnma (62)

=====

[3]
DFT (meta-GGA SCAN) results for a PBEsol-optimized structure of Al2Si2PbO8.

Cell: 9.3309 9.3309 8.4013 Å, 97.18 97.18 89.58°
Last column: nearest neighbours and their distance in Å.
Fractional positions:
1 Al 0.0526 0.7910 0.9786  4 O 1.74-1.76
2 Al 0.2090 0.9474 0.5214  4 O 1.74-1.76
3 Al 0.2958 0.4389 0.6149  4 O 1.73-1.78
4 Al 0.4389 0.2958 0.1149  4 O 1.73-1.78
5 Al 0.5611 0.7042 0.8851  4 O 1.73-1.78
6 Al 0.7042 0.5611 0.3851  4 O 1.73-1.78
7 Al 0.7910 0.0526 0.4786  4 O 1.74-1.76
8 Al 0.9474 0.2090 0.0214  4 O 1.74-1.76
9 Si 0.0635 0.2172 0.3997  4 O 1.61-1.65
10 Si 0.2172 0.0635 0.8997  4 O 1.61-1.65
11 Si 0.2884 0.5621 0.9919  4 O 1.62-1.65
12 Si 0.4379 0.7116 0.5081  4 O 1.62-1.65
13 Si 0.5621 0.2884 0.4919  4 O 1.62-1.65
14 Si 0.7116 0.4379 0.0081  4 O 1.62-1.65
15 Si 0.7828 0.9365 0.1003  4 O 1.61-1.65
16 Si 0.9365 0.7828 0.6003  4 O 1.61-1.65
17 Pb 0.0837 0.5661 0.3089  5 O 2.46-2.72
18 Pb 0.4339 0.9163 0.1911  5 O 2.46-2.72
19 Pb 0.5661 0.0837 0.8089  5 O 2.46-2.72
20 Pb 0.9163 0.4339 0.6911  5 O 2.46-2.72
21 O 0.0174 0.2658 0.2215  1 Si 1.62, 1 Al 1.74
22 O 0.0748 0.8132 0.5062  1 Si 1.64, 1 Al 1.76
23 O 0.0816 0.1716 0.8963  1 Si 1.61, 1 Al 1.74
24 O 0.1324 0.3675 0.5059  1 Si 1.65, 1 Al 1.77
25 O 0.1480 0.6467 0.0585  1 Si 1.65, 1 Al 1.76
26 O 0.1716 0.0816 0.3963  1 Si 1.61, 1 Al 1.74
27 O 0.1868 0.9252 0.9938  1 Si 1.64, 1 Al 1.76
28 O 0.2480 0.4929 0.8056  1 Si 1.62, 1 Al 1.73
29 O 0.2658 0.0174 0.7215  1 Si 1.62, 1 Al 1.74
30 O 0.3180 0.5806 0.4965  1 Si 1.65, 1 Al 1.78
31 O 0.3245 0.4430 0.1161  1 Si 1.62, 1 Al 1.73
32 O 0.3533 0.8520 0.4415  1 Si 1.65, 1 Al 1.76
33 O 0.3675 0.1324 0.0059  1 Si 1.65, 1 Al 1.77
34 O 0.4194 0.6820 0.0035  1 Si 1.65, 1 Al 1.78
35 O 0.4430 0.3245 0.6161  1 Si 1.62, 1 Al 1.73
36 O 0.4929 0.2480 0.3056  1 Si 1.62, 1 Al 1.73
37 O 0.5071 0.7520 0.6944  1 Si 1.62, 1 Al 1.73
38 O 0.5570 0.6755 0.3839  1 Si 1.62, 1 Al 1.73
39 O 0.5806 0.3180 0.9965  1 Si 1.65, 1 Al 1.78
40 O 0.6325 0.8676 0.9941  1 Si 1.65, 1 Al 1.77
41 O 0.6467 0.1480 0.5585  1 Si 1.65, 1 Al 1.76
42 O 0.6755 0.5570 0.8839  1 Si 1.62, 1 Al 1.73
43 O 0.6820 0.4194 0.5035  1 Si 1.65, 1 Al 1.78
44 O 0.7342 0.9826 0.2785  1 Si 1.62, 1 Al 1.74
45 O 0.7520 0.5071 0.1944  1 Si 1.62, 1 Al 1.73
46 O 0.8132 0.0748 0.0062  1 Si 1.64, 1 Al 1.76
47 O 0.8284 0.9184 0.6037  1 Si 1.61, 1 Al 1.74
48 O 0.8520 0.3533 0.9415  1 Si 1.65, 1 Al 1.76
49 O 0.8676 0.6325 0.4941  1 Si 1.65, 1 Al 1.77
50 O 0.9184 0.8284 0.1037  1 Si 1.61, 1 Al 1.74
51 O 0.9252 0.1868 0.4938  1 Si 1.64, 1 Al 1.76
52 O 0.9826 0.7342 0.7785  1 Si 1.62, 1 Al 1.74

Calculated values
Space-group type: C2/c (15)

=====

[4]
DFT (meta-GGA SCAN) results for a PBEsol-optimized structure of AlPd3O.

Cell: 4.1438 4.1438 4.1438 Å, 90.00 90.00 90.00°
Last column: nearest neighbours and their distance in Å.
Fractional positions:
1 Al 0.0000 0.0000 0.0000  12 Pd 2.93
2 Pd 0.0000 0.5000 0.5000  2 O 2.07
3 Pd 0.5000 0.0000 0.5000  2 O 2.07
4 Pd 0.5000 0.5000 0.0000  2 O 2.07
5 O 0.5000 0.5000 0.5000  6 Pd 2.07

Calculated values
Space-group type: Pm-3m (221)

=====

Ordered M_tot results: 0.0 0.0 0.0 0.0; unit Bohr magnetons per cell.
Ordered formation energy from raw total energies results: -37.81 -56.70 -37.84 -0.83; unit eV/f.u..